DFT (PBE) results for crystalline TbCeFe10 at its relaxed geometry.

Geometry as POSCAR:
```
TbCeFe10
1.0
3.984 0.000 0.000
0.000 5.007 0.000
0.000 0.000 8.642
Tb Ce Fe
1 1 10
direct
0.000 0.000 0.000
0.000 0.500 0.500
0.000 0.000 0.335
0.000 0.000 0.665
0.000 0.500 0.168
0.000 0.500 0.832
0.500 0.000 0.500
0.500 0.248 0.248
0.500 0.248 0.752
0.500 0.500 0.000
0.500 0.752 0.248
0.500 0.752 0.752
```

Calculated values
E = -7.96 eV/atom
crystal system = orthorhombic
space-group type = Pmmm (47)
DFT formation energy = -0.024 eV per atom